Compound: Ti2Zn2Hg
Source: Alexandria
Functional: PBE
Structure: relaxed

Unit cell a=3.931 b=3.931 c=6.553 alpha=72.55 beta=72.55 gamma=90.00
Element x y z (fractional)
Zn 0.401 0.401 0.198
Zn 0.599 0.599 0.802
Hg 0.000 0.000 0.000
Ti 0.750 0.250 0.500
Ti 0.250 0.750 0.500

Properties
For the density of states at the Fermi level, the calculation gives 3.51 states/eV per cell. The energy relative to the elements comes out at 230 meV/atom. The relative energy among the computed polymorphs is 294 meV/atom. Its calculated volume is 91.7 Å³ per cell. The space group is I4/mmm.

---

Compound: Ac2LaY3
Source: Alexandria
Functional: PBE
Structure: relaxed

Unit cell a=3.882 b=12.375 c=11.284 alpha=123.25 beta=99.91 gamma=90.00
Element x y z (fractional)
Ac 0.661 0.662 0.323
Ac 0.338 0.838 0.677
Ac 0.662 0.162 0.323
Ac 0.339 0.338 0.677
La 0.000 0.500 0.000
La 0.000 0.000 0.000
Y 0.500 0.250 0.000
Y 0.500 0.750 0.000
Y 0.167 0.417 0.334
Y 0.833 0.083 0.666
Y 0.833 0.583 0.666
Y 0.167 0.917 0.334

Properties
For the density of states at the Fermi level, the calculation gives 26.73 states/eV per cell. The energy relative to the elements comes out at 154 meV/atom. Its calculated volume is 443.6 Å³ per cell. The space group is Cmmm.

---

Compound: LiMgAuS2
Source: Alexandria
Functional: PBE
Structure: relaxed

Unit cell a=6.038 b=5.174 c=6.531 alpha=89.94 beta=90.00 gamma=90.00
Element x y z (fractional)
Li 0.999 0.500 0.750
Li 0.001 0.500 0.250
Mg 0.501 0.000 0.250
Mg 0.499 0.000 0.750
Au 0.000 0.000 0.000
Au 0.000 0.000 0.500
S 0.702 0.714 0.000
S 0.702 0.286 0.500
S 0.298 0.714 0.500
S 0.298 0.286 0.000

Properties
For the density of states at the Fermi level, the calculation gives 0.00 states/eV per cell. The uncorrected formation energy is -0.945 eV/atom. Its calculated volume is 204.1 Å³ per cell. The space group is P2/c.

---

Compound: RbFePd3
Source: Alexandria
Functional: PBE
Structure: relaxed

Unit cell a=4.824 b=4.824 c=4.824 alpha=90.00 beta=90.00 gamma=90.00
Element x y z (fractional)
Rb 0.500 0.500 0.500
Pd 0.000 0.500 0.000
Pd 0.000 0.000 0.500
Pd 0.500 0.000 0.000
Fe 0.000 0.000 0.000

Properties
For the density of states at the Fermi level, the calculation gives 3.64 states/eV per cell. The energy relative to the elements comes out at 463 meV/atom. Its calculated volume is 112.3 Å³ per cell. The space group is Pm-3m.

---

Compound: Pm5Tm2Pb5
Source: Alexandria
Functional: PBE
Structure: relaxed

Unit cell a=4.618 b=7.627 c=12.951 alpha=113.25 beta=90.00 gamma=107.62
Element x y z (fractional)
Pm 0.500 0.000 0.500
Pm 0.661 0.322 0.024
Pm 0.700 0.400 0.324
Pm 0.300 0.600 0.676
Pm 0.339 0.678 0.976
Tm 0.060 0.120 0.788
Tm 0.940 0.880 0.212
Pb 0.119 0.238 0.437
Pb 0.700 0.400 0.782
Pb 0.300 0.600 0.218
Pb 0.881 0.762 0.563
Pb 0.000 0.000 0.000

Properties
For the density of states at the Fermi level, the calculation gives 8.68 states/eV per cell. The energy relative to the elements comes out at -372 meV/atom. Its calculated volume is 395.7 Å³ per cell. The space group is C2/m.

---

Compound: Hg2Pd3Au4
Source: Alexandria
Functional: PBE
Structure: relaxed

Unit cell a=5.050 b=8.174 c=8.174 alpha=93.31 beta=90.00 gamma=90.00
Element x y z (fractional)
Hg 0.501 0.187 0.439
Hg 0.999 0.561 0.813
Hg 0.499 0.813 0.561
Hg 0.001 0.439 0.187
Pd 0.001 0.105 0.284
Pd 0.499 0.716 0.895
Pd 0.999 0.895 0.716
Pd 0.501 0.284 0.105
Pd 0.250 0.500 0.500
Pd 0.750 0.500 0.500
Au 0.500 0.952 0.172
Au 0.000 0.828 0.048
Au 0.500 0.048 0.828
Au 0.000 0.172 0.952
Au 0.001 0.216 0.617
Au 0.499 0.383 0.784
Au 0.999 0.784 0.383
Au 0.501 0.617 0.216

Properties
For the density of states at the Fermi level, the calculation gives 11.63 states/eV per cell. The energy relative to the elements comes out at 20 meV/atom. The relative energy among the computed polymorphs is 70 meV/atom. Its calculated volume is 336.8 Å³ per cell. The space group is C2/c.

---

Compound: PrMgGa2Rh2
Source: Alexandria
Functional: PBE
Structure: relaxed

Unit cell a=4.353 b=4.353 c=6.910 alpha=90.00 beta=90.00 gamma=120.00
Element x y z (fractional)
Pr 0.000 0.000 0.000
Mg 0.000 0.000 0.500
Ga 0.667 0.333 0.719
Ga 0.333 0.667 0.281
Rh 0.667 0.333 0.344
Rh 0.333 0.667 0.656

Properties
For the density of states at the Fermi level, the calculation gives 1.40 states/eV per cell. The energy relative to the elements comes out at -725 meV/atom. Its calculated volume is 113.4 Å³ per cell. The space group is P-3m1.

---

Compound: Li2LaCo
Source: Alexandria
Functional: PBE
Structure: relaxed

Unit cell a=3.859 b=3.853 c=5.297 alpha=90.00 beta=90.00 gamma=90.00
Element x y z (fractional)
Co 0.500 0.000 0.500
La 0.000 0.500 0.500
Li 0.000 0.000 0.000
Li 0.500 0.500 0.000

Properties
For the density of states at the Fermi level, the calculation gives 3.47 states/eV per cell. The energy relative to the elements comes out at 130 meV/atom. The relative energy among the computed polymorphs is 0 meV/atom. Its calculated volume is 78.8 Å³ per cell. The space group is P4/mmm.

---

Compound: Na3MnP2
Source: Alexandria
Functional: PBE
Structure: relaxed

Unit cell a=6.856 b=6.064 c=7.953 alpha=112.41 beta=115.53 gamma=90.00
Element x y z (fractional)
Na 0.379 0.689 0.377
Na 0.621 0.311 0.623
Na 0.002 0.811 0.623
Na 0.998 0.189 0.377
Na 0.500 0.750 0.000
Na 0.500 0.250 0.000
Mn 0.000 0.250 0.000
Mn 0.000 0.750 0.000
P 0.291 0.098 0.196
P 0.709 0.902 0.804
P 0.095 0.402 0.804
P 0.905 0.598 0.196

Properties
For the density of states at the Fermi level, the calculation gives 3.28 states/eV per cell. The energy relative to the elements comes out at -331 meV/atom. Its calculated volume is 270.4 Å³ per cell. The space group is Ibam.

---

Compound: Nd2DySi
Source: Alexandria
Functional: PBE
Structure: relaxed

Unit cell a=4.780 b=4.714 c=4.714 alpha=90.00 beta=90.00 gamma=90.00
Element x y z (fractional)
Si 0.500 0.500 0.500
Nd 0.000 0.000 0.500
Nd 0.000 0.500 0.000
Dy 0.500 0.000 0.000

Properties
For the density of states at the Fermi level, the calculation gives 3.98 states/eV per cell. The relative energy among the computed polymorphs is 0 meV/atom. The uncorrected formation energy is -0.244 eV/atom. Its calculated volume is 106.2 Å³ per cell. The space group is P4/mmm.

---

Compound: Ba2In4Ga3Ag
Source: Alexandria
Functional: PBE
Structure: relaxed

Unit cell a=4.813 b=4.813 c=11.722 alpha=90.00 beta=90.00 gamma=90.00
Element x y z (fractional)
Ba 0.500 0.000 0.251
Ba 0.000 0.500 0.749
In 0.500 0.500 0.000
In 0.000 0.000 0.000
In 0.500 0.000 0.628
In 0.000 0.500 0.372
Ga 0.000 0.000 0.500
Ga 0.500 0.000 0.864
Ga 0.000 0.500 0.136
Ag 0.500 0.500 0.500

Properties
For the density of states at the Fermi level, the calculation gives 3.94 states/eV per cell. The energy relative to the elements comes out at -361 meV/atom. Its calculated volume is 271.6 Å³ per cell. The space group is P-4m2.

---

Compound: NaMg2Cd3
Source: Alexandria
Functional: PBE
Structure: relaxed

Unit cell a=3.586 b=3.586 c=10.793 alpha=90.00 beta=90.00 gamma=90.00
Element x y z (fractional)
Na 0.500 0.500 0.500
Mg 0.500 0.500 0.843
Mg 0.500 0.500 0.157
Cd 0.000 0.000 0.000
Cd 0.000 0.000 0.688
Cd 0.000 0.000 0.312

Properties
For the density of states at the Fermi level, the calculation gives 1.66 states/eV per cell. The energy relative to the elements comes out at -83 meV/atom. The relative energy among the computed polymorphs is 0 meV/atom. Its calculated volume is 138.8 Å³ per cell. The space group is P4/mmm.